A relaxed structure of PmZrGe2, computed with PBE.

Cell lengths 5.826, 7.460, 8.710 Å; angles 90.00, 90.00, 90.00 degrees
Positions (direct):
1 Zr 0.750 0.072 0.619
2 Pm 0.250 0.906 0.873
3 Zr 0.250 0.928 0.381
4 Ge 0.500 0.750 0.148
5 Zr 0.750 0.572 0.381
6 Zr 0.250 0.428 0.619
7 Ge 0.500 0.750 0.607
8 Ge 0.500 0.250 0.393
9 Ge 0.500 0.250 0.852
10 Pm 0.750 0.094 0.127
11 Pm 0.250 0.406 0.127
12 Ge 0.000 0.250 0.852
13 Pm 0.750 0.594 0.873
14 Ge 0.000 0.750 0.607
15 Ge 0.000 0.750 0.148
16 Ge 0.000 0.250 0.393

Output
Total energy   -25.5 eV/f.u.